DFT (PBE-GGA) results for a geometry-optimized CePr3Ho6Tm2 structure.

It has space group C2/m (No. 12), with a = 6.185 Å, b = 10.711 Å, c = 11.792 Å, α = 90.00°, β = 100.06° and γ = 90.00°. Symmetry generates all atoms from Ce at (0.000, 0.000, 0.000), Pr at (0.000, 0.168, 0.500), Pr at (0.000, 0.500, 0.500), Ho at (0.248, 0.166, 0.245), Ho at (0.249, 0.000, 0.755) and Tm at (0.000, 0.333, 0.000).

Its final energy is -56.228 eV per formula unit. As for the formation energy: 0.454 eV per formula unit.